# HgAsIBr2

An optimized crystal structure of HgAsIBr2 (PBE, the Alexandria database).

```
5
Lattice="5.351 0.000 0.000 0.000 5.351 0.000 0.000 0.000 5.724" Properties=species:S:1:pos:R:3 pbc="T T T"
Hg 0.000 0.000 0.000
As 0.000 0.000 2.862
I 2.676 2.676 2.862
Br 0.000 2.676 0.000
Br 2.676 0.000 0.000
```

Computed properties:
calculated density: 5.7 Mg/m³
formation energy from raw total energies: 406 meV/atom
symmetry: P4/mmm (123)
energy above the lowest structure with this stoichiometry: 0 meV per atom

=====

# TaNiRu

An optimized crystal structure of TaNiRu (PBE, the Alexandria database).

```
3
Lattice="-1.398 1.398 5.535 1.398 -1.398 5.535 1.398 1.398 -5.535" Properties=species:S:1:pos:R:3 pbc="T T T"
Ta 0.000 0.000 0.000
Ni 0.000 0.000 7.386
Ru 0.000 0.000 3.570
```

Computed properties:
calculated density: 13.1 Mg/m³
ΔE_f: -5 meV per atom
symmetry: I4mm (107)
energy above the lowest structure with this stoichiometry: 294 meV per atom

=====

# PrEu2Mg

An optimized crystal structure of PrEu2Mg (PBE, the Alexandria database).

```
4
Lattice="5.171 0.000 0.000 0.000 5.171 0.000 0.000 0.000 5.258" Properties=species:S:1:pos:R:3 pbc="T T T"
Pr 0.000 0.000 0.000
Eu 0.000 2.585 2.629
Eu 2.585 0.000 2.629
Mg 2.585 2.585 0.000
```

Computed properties:
calculated density: 5.5 Mg/m³
ΔE_f: 46 meV per atom
symmetry: P4/mmm (123)
energy above the lowest structure with this stoichiometry: 36 meV per atom

=====

- Among the records above, which one has the lowest calculated density?
  PrEu2Mg

=====

- calculated density of number 2 (TaNiRu)?
  13.1 Mg/m³

=====

Please write out number 3 again, unchanged.
# PrEu2Mg

An optimized crystal structure of PrEu2Mg (PBE, the Alexandria database).

```
4
Lattice="5.171 0.000 0.000 0.000 5.171 0.000 0.000 0.000 5.258" Properties=species:S:1:pos:R:3 pbc="T T T"
Pr 0.000 0.000 0.000
Eu 0.000 2.585 2.629
Eu 2.585 0.000 2.629
Mg 2.585 2.585 0.000
```

Computed properties:
calculated density: 5.5 Mg/m³
ΔE_f: 46 meV per atom
symmetry: P4/mmm (123)
energy above the lowest structure with this stoichiometry: 36 meV per atom

=====

- What is the formula in the second record?
  TaNiRu